# 1
## In4TeW2 (PBE)

Data for a relaxed In4TeW2 crystal.

Lattice parameters (Å, degrees): 5.677 5.677 8.116 69.53 69.53 90.00
Positions (direct):
Te 0.000 0.000 0.000
W 0.579 0.579 0.842
W 0.421 0.421 0.158
In 0.787 0.787 0.425
In 0.213 0.213 0.575
In 0.000 0.500 0.000
In 0.500 0.000 0.000

Properties
final energy: -4.519 eV per atom
mass density: 6.974 g/cm3
ΔE_f (raw): 1.195 eV/atom

***

# 2
## Tl3BPt (PBE)

Data for a relaxed Tl3BPt crystal.

Lattice parameters (Å, degrees): 5.342 5.342 5.342 90.00 90.00 90.00
Each line ends with the local moment (μB).
Positions (direct):
Tl 0.000 0.500 0.000  0.04
Tl 0.000 0.000 0.500  0.03
Tl 0.500 0.000 0.000  0.04
B 0.500 0.500 0.500  0.36
Pt 0.000 0.000 0.000  0.14

Properties
final energy: -2.989 eV per atom
mass density: 8.922 g/cm3
excess energy over the best structure of this formula in the dataset: 208.9 meV/atom
energy of formation: 94 kJ/mol of atoms

***

# 3
## K2TlCuBr5 (PBE)

Data for a relaxed K2TlCuBr5 crystal.

Lattice parameters (Å, degrees): 4.333 10.413 13.981 90.00 90.00 102.01
Each line ends with the local moment (μB).
Positions (direct):
K 0.876 0.753 0.839  0.00
K 0.115 0.230 0.688  0.00
K 0.124 0.247 0.339  0.00
K 0.885 0.770 0.188  0.00
Tl 0.799 0.598 0.542  0.02
Tl 0.201 0.402 0.042  0.02
Cu 0.548 0.095 0.910  0.29
Cu 0.452 0.905 0.410  0.29
Br 0.350 0.700 0.015  0.01
Br 0.665 0.329 0.873  0.06
Br 0.491 0.983 0.758  0.04
Br 0.287 0.574 0.704  0.02
Br 0.970 0.940 0.494  0.09
Br 0.650 0.300 0.515  0.01
Br 0.335 0.671 0.373  0.06
Br 0.509 0.017 0.258  0.04
Br 0.713 0.426 0.204  0.02
Br 0.030 0.060 0.994  0.09

Properties
final energy: -2.928 eV per atom
mass density: 4.014 g/cm3
ΔE_f (raw): -1.036 eV/atom